# 1
# CsNiSnAs

A geometry-optimized CsNiSnAs structure (PBE-GGA, Alexandria via LeMat-Bulk).

abc: 4.2012 4.2012 13.8740
angles: 90.00 90.00 90.00
Last column: nearest neighbours and their distance in Å.
Fractional positions:
Ni (0.7500, 0.2500, 0.0000)  4 As 2.36
Ni (0.2500, 0.7500, 0.0000)  4 As 2.36
Sn (0.7500, 0.2500, 0.5000)  4 Sn 2.97
Sn (0.2500, 0.7500, 0.5000)  4 Sn 2.97
Cs (0.2500, 0.2500, 0.7631)  4 As 3.70, 4 Ni 3.90
Cs (0.7500, 0.7500, 0.2369)  4 As 3.70, 4 Ni 3.90
As (0.2500, 0.2500, 0.0776)  4 Ni 2.36
As (0.7500, 0.7500, 0.9224)  4 Ni 2.36

Results
mass density: 5.2 Mg/m³
energy of formation from the pure elements: -0.26 eV per atom
space group: P4/nmm, No. 129
DOS at the Fermi energy: 3.16 states/eV/f.u.


# 2
# Cs2TiNiAs

A geometry-optimized Cs2TiNiAs structure (PBE-GGA, Alexandria via LeMat-Bulk).

abc: 6.6429 4.3965 6.6429
angles: 90.00 90.00 90.00
Last column: nearest neighbours and their distance in Å.
Fractional positions:
Ti (0.0000, 0.5000, 0.0000)  2 Ni 2.20
As (0.5000, 0.5000, 0.5000)  8 Cs 3.98, 2 As 4.40
Ni (0.0000, 0.0000, 0.0000)  2 Ti 2.20
Cs (0.5000, 0.0000, 0.0000)  2 Ni 3.32
Cs (0.0000, 0.0000, 0.5000)  2 Ni 3.32

Results
mass density: 3.8 Mg/m³
energy of formation from the pure elements: 0.88 eV per atom
space group: P4/mmm, No. 123
DOS at the Fermi energy: 7.04 states/eV/f.u.


# 3
# CsTlNiAs

A geometry-optimized CsTlNiAs structure (PBE-GGA, Alexandria via LeMat-Bulk).

abc: 4.2771 4.2771 13.9897
angles: 90.00 90.00 90.00
Last column: nearest neighbours and their distance in Å.
Fractional positions:
As (0.2500, 0.2500, 0.0741)  4 Ni 2.38
As (0.7500, 0.7500, 0.9259)  4 Ni 2.38
Tl (0.2500, 0.7500, 0.5000)  4 Tl 3.02
Tl (0.7500, 0.2500, 0.5000)  4 Tl 3.02
Cs (0.2500, 0.2500, 0.7717)  4 As 3.72, 4 Ni 3.84
Cs (0.7500, 0.7500, 0.2283)  4 As 3.72, 4 Ni 3.84
Ni (0.2500, 0.7500, 0.0000)  4 As 2.38
Ni (0.7500, 0.2500, 0.0000)  4 As 2.38

Results
mass density: 6.1 Mg/m³
energy of formation from the pure elements: -0.23 eV per atom
space group: P4/nmm, No. 129
DOS at the Fermi energy: 3.29 states/eV/f.u.


# 4
# CsZrNiAs2

A geometry-optimized CsZrNiAs2 structure (PBE-GGA, Alexandria via LeMat-Bulk).

abc: 4.9112 5.0335 4.9112
angles: 90.00 90.00 90.00
Last column: nearest neighbours and their distance in Å.
Fractional positions:
Zr (0.0000, 0.5000, 0.0000)  2 Ni 2.52
As (0.0000, 0.0000, 0.5000)  2 Ni 2.46
As (0.5000, 0.0000, 0.0000)  2 Ni 2.46
Ni (0.0000, 0.0000, 0.0000)  4 As 2.46, 2 Zr 2.52
Cs (0.5000, 0.5000, 0.5000)  4 Zr 3.47, 8 As 3.52

Results
mass density: 5.9 Mg/m³
energy of formation from the pure elements: 0.41 eV per atom
space group: P4/mmm, No. 123
DOS at the Fermi energy: 4.59 states/eV/f.u.